Compound: ReBAsBr2
Source: Alexandria
Functional: GGA-PBE
Structure: relaxed Values from VASP.

```
&SYSTEM
  ibrav = 0, nat = 5, ntyp = 4
/
ATOMIC_SPECIES
Br 79.90 Br.upf
B 10.81 B.upf
Re 186.21 Re.upf
As 74.92 As.upf
ATOMIC_POSITIONS crystal
Br 0.5000 0.0000 0.0000
B 0.0000 0.0000 0.0000
Re 0.5000 0.5000 0.5000
Br 0.0000 0.5000 0.0000
As 0.0000 0.0000 0.5000
CELL_PARAMETERS angstrom
4.4002 0.0000 0.0000
0.0000 4.4002 0.0000
0.0000 0.0000 4.4369
```

Results
The energy above the lowest structure with this stoichiometry comes out at 0.240 eV/atom. For the formation energy from raw total energies, the calculation gives 1.657 eV/atom.